DFT (GGA-PBE) results for TbZrTa4 after structural relaxation.

Computed properties:
DOS(E_F): 47.31 states/eV per cell
energy of formation: 0.191 eV/atom
calculated density: 12.741 g/cm3

Lattice parameters (Å, degrees): 7.9777 7.9777 7.9777 90.00 90.00 90.00
Closest atoms and distances in Å follow each position.
Space group F-43m (No. 216)
Symmetry-distinct sites (fractional):
1 Tb 0.0000 0.0000 0.0000 [4 per cell]  12 Ta 3.31, 4 Zr 3.45
2 Zr 0.2500 0.2500 0.7500 [4 per cell]  12 Ta 3.31, 4 Tb 3.45
3 Ta 0.1251 0.1251 0.3749 [16 per cell]  6 Ta 2.82

DFT (GGA-PBE) results for TbZr2Ta after structural relaxation.

Computed properties:
offset from the most stable computed form: 0.0 meV/atom
DOS(E_F): 6.16 states/eV per cell
energy of formation: 0.154 eV/atom
calculated density: 9.106 g/cm3

Lattice parameters (Å, degrees): 3.6080 3.6080 7.3170 90.00 90.00 90.00
Closest atoms and distances in Å follow each position.
Space group P4/mmm (No. 123)
Symmetry-distinct sites (fractional):
1 Tb 0.0000 0.0000 0.0000 [1 per cell]  8 Zr 3.34, 4 Tb 3.61, 2 Ta 3.66
2 Zr 0.5000 0.5000 0.2950 [2 per cell]  4 Ta 2.96, 1 Zr 3.00
3 Ta 0.0000 0.0000 0.5000 [1 per cell]  8 Zr 2.96

DFT (GGA-PBE) results for TbZrTa after structural relaxation.

Computed properties:
DOS(E_F): 31.25 states/eV per cell
energy of formation: 0.642 eV/atom
calculated density: 9.419 g/cm3

Lattice parameters (Å, degrees): 5.6982 7.5651 14.1043 90.00 90.00 90.00
Closest atoms and distances in Å follow each position.
Space group Fmmm (No. 69)
Symmetry-distinct sites (fractional):
1 Tb 0.2500 0.2500 0.2500 [8 per cell]  2 Tb 2.85
2 Zr 0.0000 0.0000 0.0939 [8 per cell]  1 Zr 2.65, 2 Ta 2.85
3 Ta 0.0000 0.1666 0.5000 [8 per cell]  1 Ta 2.52

DFT (GGA-PBE) results for Ta2Tc after structural relaxation.

Computed properties:
offset from the most stable computed form: 684.7 meV/atom
DOS(E_F): 4.54 states/eV per cell
energy of formation: 0.303 eV/atom
calculated density: 14.088 g/cm3

Lattice parameters (Å, degrees): 3.0686 4.7855 7.3828 90.00 90.00 90.00
Closest atoms and distances in Å follow each position.
Space group Immm (No. 71)
Symmetry-distinct sites (fractional):
1 Ta 0.0000 0.0000 0.1918 [4 per cell]  4 Tc 2.74-2.78, 7 Ta 2.83-3.07
2 Tc 0.0000 0.5000 0.0000 [2 per cell]  8 Ta 2.74-2.78, 2 Tc 3.07

DFT (GGA-PBE) results for Ta4Tc after structural relaxation.

Computed properties:
offset from the most stable computed form: 1121.2 meV/atom
DOS(E_F): 10.14 states/eV per cell
energy of formation: 0.899 eV/atom
calculated density: 14.177 g/cm3

Lattice parameters (Å, degrees): 3.5901 3.5901 14.9359 90.00 90.00 90.00
Closest atoms and distances in Å follow each position.
Space group I4/mmm (No. 139)
Symmetry-distinct sites (fractional):
1 Ta 0.0000 0.0000 0.0907 [4 per cell]  5 Ta 2.71-2.98, 4 Tc 2.88
2 Ta 0.0000 0.5000 0.2500 [4 per cell]  4 Ta 2.54
3 Tc 0.0000 0.0000 0.5000 [2 per cell]  8 Ta 2.88

DFT (GGA-PBE) results for Ta5Tc after structural relaxation.

Computed properties:
offset from the most stable computed form: 0.0 meV/atom
DOS(E_F): 5.29 states/eV per cell
energy of formation: -0.185 eV/atom
calculated density: 15.840 g/cm3

Lattice parameters (Å, degrees): 3.2417 3.2417 10.0026 90.00 90.00 90.00
Closest atoms and distances in Å follow each position.
Space group P4/mmm (No. 123)
Symmetry-distinct sites (fractional):
1 Ta 0.0000 0.0000 0.0000 [1 per cell]  8 Ta 2.85
2 Ta 0.0000 0.0000 0.3433 [2 per cell]  4 Tc 2.78, 4 Ta 2.88
3 Ta 0.5000 0.5000 0.1687 [2 per cell]  8 Ta 2.85-2.88
4 Tc 0.5000 0.5000 0.5000 [1 per cell]  8 Ta 2.78

DFT (GGA-PBE) results for TaTc3 after structural relaxation.

Computed properties:
offset from the most stable computed form: 195.4 meV/atom
DOS(E_F): 5.73 states/eV per cell
energy of formation: 0.098 eV/atom
calculated density: 12.689 g/cm3

Lattice parameters (Å, degrees): 2.8188 2.8188 9.0329 90.00 90.00 120.00
Closest atoms and distances in Å follow each position.
Space group P-6m2 (No. 187)
Symmetry-distinct sites (fractional):
1 Ta 0.0000 0.0000 0.0000 [1 per cell]  6 Ta 2.82, 6 Tc 2.90
2 Tc 0.0000 0.0000 0.5000 [1 per cell]  12 Tc 2.67-2.82
3 Tc 0.3333 0.6667 0.2656 [2 per cell]  9 Tc 2.67-2.82, 3 Ta 2.90

DFT (GGA-PBE) results for TaTc2 after structural relaxation.

Computed properties:
offset from the most stable computed form: 0.0 meV/atom
DOS(E_F): 9.48 states/eV per cell
energy of formation: -0.198 eV/atom
calculated density: 13.248 g/cm3

Lattice parameters (Å, degrees): 3.1638 13.3321 4.4804 90.00 90.00 90.00
Closest atoms and distances in Å follow each position.
Space group Cmcm (No. 63)
Symmetry-distinct sites (fractional):
1 Ta 0.0000 0.0852 0.2500 [4 per cell]  8 Tc 2.67-2.75
2 Tc 0.0000 0.2539 0.7500 [4 per cell]  2 Ta 2.67, 6 Tc 2.74-2.77
3 Tc 0.0000 0.4163 0.2500 [4 per cell]  6 Ta 2.74-2.75, 2 Tc 2.77

DFT (GGA-PBE) results for TaTc2 after structural relaxation.

Computed properties:
offset from the most stable computed form: 537.0 meV/atom
DOS(E_F): 7.44 states/eV per cell
energy of formation: 0.339 eV/atom
calculated density: 12.474 g/cm3

Lattice parameters (Å, degrees): 6.4657 6.4657 4.1580 90.00 90.00 120.00
Closest atoms and distances in Å follow each position.
Space group P-62m (No. 189)
Symmetry-distinct sites (fractional):
1 Ta 0.0000 0.0000 0.0000 [1 per cell]  9 Tc 2.61-2.81
2 Ta 0.3333 0.6667 0.5000 [2 per cell]  3 Tc 2.49
3 Tc 0.0000 0.2442 0.5000 [3 per cell]  4 Ta 2.49-2.61, 2 Tc 2.73
4 Tc 0.0000 0.5658 0.0000 [3 per cell]  5 Ta 2.81-2.83, 2 Tc 2.94

DFT (GGA-PBE) results for Ta2Tc after structural relaxation.

Computed properties:
offset from the most stable computed form: 0.0 meV/atom
DOS(E_F): 2.90 states/eV per cell
energy of formation: -0.382 eV/atom
calculated density: 15.086 g/cm3

Lattice parameters (Å, degrees): 3.2006 3.2006 9.8832 90.00 90.00 90.00
Closest atoms and distances in Å follow each position.
Space group I4/mmm (No. 139)
Symmetry-distinct sites (fractional):
1 Ta 0.0000 0.0000 0.1598 [4 per cell]  4 Tc 2.76, 4 Ta 2.88
2 Tc 0.0000 0.0000 0.5000 [2 per cell]  8 Ta 2.76

DFT (GGA-PBE) results for Ta5Tc4 after structural relaxation.

Computed properties:
offset from the most stable computed form: 0.0 meV/atom
DOS(E_F): 10.38 states/eV per cell
energy of formation: -0.165 eV/atom
calculated density: 14.526 g/cm3

Lattice parameters (Å, degrees): 9.6079 9.6079 3.2117 90.00 90.00 90.00
Closest atoms and distances in Å follow each position.
Space group I4/mmm (No. 139)
Symmetry-distinct sites (fractional):
1 Ta 0.0000 0.0000 0.0000 [2 per cell]  8 Ta 2.78
2 Ta 0.1672 0.1672 0.5000 [8 per cell]  4 Ta 2.76-2.78, 4 Tc 2.79
3 Tc 0.0000 0.3360 0.0000 [8 per cell]  4 Tc 2.75, 4 Ta 2.79

DFT (GGA-PBE) results for TaTc3 after structural relaxation.

Computed properties:
offset from the most stable computed form: 130.8 meV/atom
DOS(E_F): 5.04 states/eV per cell
energy of formation: 0.033 eV/atom
calculated density: 12.720 g/cm3

Lattice parameters (Å, degrees): 3.9579 3.9579 3.9579 90.00 90.00 90.00
Closest atoms and distances in Å follow each position.
Space group Pm-3m (No. 221)
Symmetry-distinct sites (fractional):
1 Ta 0.0000 0.0000 0.0000 [1 per cell]  12 Tc 2.80
2 Tc 0.0000 0.5000 0.5000 [3 per cell]  4 Ta 2.80, 8 Tc 2.80

Question: Which of these has the highest DOS(E_F)?
Answer: TbZrTa4